[1]
Material: Sr2Li3Cu12Pd
Method: DFT, GGA-PBE
State: optimized geometry

Output
DFT formation energy   109 meV/atom
Energy   -3.416 eV/atom
Spin magnetization   0.00 μB/f.u.

Unit cell a=6.1080 b=6.1080 c=28.1497 alpha=90.00 beta=90.00 gamma=120.00
With the nearest neighbours (Å) after each atom.
Space group R-3m (No. 166, hexagonal axes)
Asymmetric unit:
Sr 0.0000 0.0000 0.1482 x6  12 Cu 3.16-3.47
Li 0.0000 0.5000 0.0000 x9  6 Cu 2.39-2.58
Cu 0.0585 0.5292 0.0910 x18  4 Cu 2.44-2.52, 1 Pd 2.58, 1 Li 2.58
Cu 0.0712 0.5356 0.6193 x18  2 Li 2.39, 4 Cu 2.40-2.44
Pd 0.0000 0.0000 0.5000 x3  6 Cu 2.58


[2]
Material: Cs2NaLaI6
Method: DFT, GGA-PBE
State: optimized geometry

Output
Energy relative to the elements, uncorrected   -14.93 eV per formula unit
Energy   -3.219 eV/atom
Spin magnetization   0.00 μB/f.u.

Unit cell a=12.6268 b=12.6268 c=12.6268 alpha=90.00 beta=90.00 gamma=90.00
With the nearest neighbours (Å) after each atom.
Space group Fm-3m (No. 225)
Asymmetric unit:
Cs 0.2500 0.2500 0.2500 x8  12 I 4.46
Na 0.0000 0.0000 0.0000 x4  6 I 3.16
La 0.0000 0.0000 0.5000 x4  6 I 3.15
I 0.0000 0.0000 0.2505 x24  1 La 3.15, 1 Na 3.16


[3]
Material: SmHo2ScSb4
Method: DFT, GGA-PBE
State: optimized geometry

Output
Energy relative to the elements, uncorrected   -8.52 eV per formula unit
Energy   -5.653 eV/atom
Spin magnetization   0.00 μB/f.u.

Unit cell a=6.1603 b=6.1603 c=12.2753 alpha=90.00 beta=90.00 gamma=90.00
With the nearest neighbours (Å) after each atom.
Space group I4/mmm (No. 139)
Asymmetric unit:
Sm 0.0000 0.0000 0.0000 x2  6 Sb 3.08-3.16
Ho 0.0000 0.5000 0.2500 x4  6 Sb 3.07-3.08
Sc 0.0000 0.0000 0.5000 x2  6 Sb 2.97-3.08
Sb 0.0000 0.0000 0.2577 x4  1 Sc 2.97, 4 Ho 3.08, 1 Sm 3.16
Sb 0.0000 0.5000 0.0000 x4  2 Ho 3.07, 2 Sc 3.08, 2 Sm 3.08